# 1
# PBE-GGA CaMoN2, relaxed
# - Formation energy without anion corrections: -601 meV/atom
data_CaMoN2
_cell_length_a 4.984
_cell_length_b 4.984
_cell_length_c 10.040
_cell_angle_alpha 90.00
_cell_angle_beta 90.00
_cell_angle_gamma 90.00
_symmetry_space_group_name_H-M 'I -4 2 d'
_symmetry_Int_Tables_number 122
_symmetry_space_group_name_Hall 'I -4 2bw'
loop_
_atom_site_label
_atom_site_type_symbol
_atom_site_fract_x
_atom_site_fract_y
_atom_site_fract_z
Ca1 Ca 0.000 0.000 0.000
Mo1 Mo 0.000 0.000 0.500
N1 N 0.167 0.250 0.625

# 2
# PBE-GGA Ca3Mo5N12, relaxed
# - Formation energy without anion corrections: -467 meV/atom
data_Ca3Mo5N12
_cell_length_a 12.902
_cell_length_b 12.902
_cell_length_c 12.902
_cell_angle_alpha 90.00
_cell_angle_beta 90.00
_cell_angle_gamma 90.00
_symmetry_space_group_name_H-M 'I a -3 d'
_symmetry_Int_Tables_number 230
_symmetry_space_group_name_Hall '-I 4bd 2c 3'
loop_
_atom_site_label
_atom_site_type_symbol
_atom_site_fract_x
_atom_site_fract_y
_atom_site_fract_z
Ca1 Ca 0.000 0.250 0.125
Mo1 Mo 0.000 0.000 0.000
Mo2 Mo 0.000 0.250 0.375
N1 N 0.035 0.046 0.647

# 3
# PBE-GGA Ca3MoN3, relaxed
# - Formation energy without anion corrections: -834 meV/atom
data_Ca3MoN3
_cell_length_a 7.5224
_cell_length_b 7.5224
_cell_length_c 5.0944
_cell_angle_alpha 90.00
_cell_angle_beta 90.00
_cell_angle_gamma 120.00
_symmetry_space_group_name_H-M 'P 63/m'
_symmetry_Int_Tables_number 176
_symmetry_space_group_name_Hall '-P 6c'
loop_
_atom_site_label
_atom_site_type_symbol
_atom_site_fract_x
_atom_site_fract_y
_atom_site_fract_z
Ca1 Ca 0.1075 0.3485 0.2500
Mo1 Mo 0.3333 0.6667 0.7500
N1 N 0.1209 0.3915 0.7500

no.,V (Å³/cell)
1,249.4
2,2147.9
3,249.7